# Er8Sb3Te4, optimized geometry, DFT GGA-PBE
# Magnetization (μB/cell): 0.0
# Formation energy from raw total energies (eV/atom): -1.0570
data_Er8Sb3Te4
_cell_length_a 12.103
_cell_length_b 12.123
_cell_length_c 8.541
_cell_angle_alpha 90.00
_cell_angle_beta 134.73
_cell_angle_gamma 90.00
_space_group_name_H-M_alt 'C 1 2/m 1'
_space_group_IT_number 12
loop_
_space_group_symop_operation_xyz
'x,y,z'
'-x,-y,-z'
'-x,y,-z'
'x,-y,z'
'x+1/2,y+1/2,z'
'-x+1/2,-y+1/2,-z'
'-x+1/2,y+1/2,-z'
'x+1/2,-y+1/2,z'
loop_
_atom_site_label
_atom_site_fract_x
_atom_site_fract_y
_atom_site_fract_z
_atom_site_occupancy
Er1 0.000 0.241 0.000 1
Er2 0.000 0.246 0.500 1
Er3 0.236 0.000 0.995 1
Er4 0.240 0.000 0.486 1
Sb1 0.000 0.000 0.500 1
Sb2 0.250 0.250 0.000 1
Te1 0.000 0.500 0.000 1
Te2 0.000 0.500 0.500 1
Te3 0.250 0.250 0.500 1